Entry from the Alexandria database: a geometry-optimized CsTbSb2 structure (PBE-GGA).

Results
**Density of states at the Fermi level**: 3.68 states/eV/cell

Cell lengths 4.792, 4.792, 8.856 Å; angles 74.30, 74.30, 60.00 degrees
Positions (direct):
Sb (0.722, 0.722, 0.834)
Cs (0.500, 0.500, 0.500)
Tb (0.000, 0.000, 0.000)
Sb (0.278, 0.278, 0.166)

Entry from the Alexandria database: a geometry-optimized Cs2TcSb structure (PBE-GGA).

Results
**Density of states at the Fermi level**: 9.80 states/eV/cell

Cell lengths 10.190, 10.190, 10.190 Å; angles 93.66, 93.66, 150.73 degrees
Positions (direct):
Cs (0.625, 0.375, 0.750)
Sb (0.000, 0.000, 0.000)
Tc (0.750, 0.250, 0.500)
Cs (0.625, 0.875, 0.250)
Cs (0.125, 0.375, 0.750)
Sb (0.250, 0.750, 0.500)
Tc (0.500, 0.500, 0.000)
Cs (0.625, 0.375, 0.250)

Entry from the Alexandria database: a geometry-optimized CsYTc2Sb structure (PBE-GGA).

Results
**Density of states at the Fermi level**: 5.82 states/eV/cell

Cell lengths 4.912, 5.603, 4.912 Å; angles 90.00, 90.00, 90.00 degrees
Positions (direct):
Tc (0.500, 0.000, 0.000)
Y (0.000, 0.500, 0.000)
Tc (0.000, 0.000, 0.500)
Cs (0.000, 0.000, 0.000)
Sb (0.500, 0.500, 0.500)

Entry from the Alexandria database: a geometry-optimized CsSbTe2 structure (PBE-GGA).

Cell lengths 4.568, 4.568, 9.351 Å; angles 75.86, 75.86, 60.00 degrees
Positions (direct):
Te (0.271, 0.271, 0.188)
Sb (0.667, 0.667, 0.999)
Te (0.063, 0.063, 0.811)
Cs (0.499, 0.499, 0.502)

Entry from the Alexandria database: a geometry-optimized Cs3Sb2Te4 structure (PBE-GGA).

Results
**Density of states at the Fermi level**: 5.20 states/eV/cell
**ΔE to the lowest computed polymorph**: 46 meV/atom

Cell lengths 9.387, 10.039, 10.039 Å; angles 85.47, 83.05, 83.05 degrees
Positions (direct):
Te (0.458, 0.948, 0.297)
Cs (0.865, 0.023, 0.268)
Te (0.895, 0.732, 0.613)
Sb (0.602, 0.818, 0.559)
Sb (0.398, 0.182, 0.441)
Te (0.042, 0.703, 0.052)
Sb (0.102, 0.559, 0.818)
Cs (0.135, 0.977, 0.732)
Sb (0.898, 0.441, 0.182)
Te (0.105, 0.268, 0.387)
Cs (0.250, 0.619, 0.381)
Cs (0.635, 0.732, 0.977)
Te (0.395, 0.613, 0.732)
Te (0.958, 0.297, 0.948)
Te (0.542, 0.052, 0.703)
Cs (0.365, 0.268, 0.023)
Te (0.605, 0.387, 0.268)
Cs (0.750, 0.381, 0.619)

Entry from the Alexandria database: a geometry-optimized Cs3SbTe3 structure (PBE-GGA).

Cell lengths 5.885, 14.967, 16.341 Å; angles 90.00, 90.00, 90.00 degrees
Positions (direct):
Cs (0.750, 0.429, 0.896)
Sb (0.750, 0.444, 0.302)
Te (0.750, 0.774, 0.121)
Cs (0.250, 0.071, 0.396)
Cs (0.750, 0.640, 0.480)
Sb (0.250, 0.556, 0.698)
Cs (0.750, 0.140, 0.020)
Cs (0.250, 0.360, 0.520)
Te (0.250, 0.726, 0.621)
Te (0.250, 0.008, 0.168)
Sb (0.750, 0.944, 0.198)
Cs (0.250, 0.769, 0.285)
Cs (0.250, 0.269, 0.215)
Te (0.750, 0.274, 0.379)
Te (0.250, 0.097, 0.631)
Te (0.250, 0.226, 0.879)
Te (0.750, 0.492, 0.668)
Te (0.750, 0.403, 0.131)
Te (0.750, 0.992, 0.832)
Te (0.250, 0.508, 0.332)
Cs (0.250, 0.860, 0.980)
Te (0.750, 0.903, 0.369)
Cs (0.750, 0.231, 0.715)
Cs (0.250, 0.571, 0.104)
Cs (0.750, 0.731, 0.785)
Te (0.250, 0.597, 0.869)
Cs (0.750, 0.929, 0.604)
Sb (0.250, 0.056, 0.802)

Entry from the Alexandria database: a geometry-optimized CsSb3Te7 structure (PBE-GGA).

Results
**Density of states at the Fermi level**: 8.92 states/eV/cell

Cell lengths 7.468, 8.416, 8.416 Å; angles 77.43, 114.07, 114.07 degrees
Positions (direct):
Te (0.794, 0.941, 0.363)
Te (0.702, 0.848, 0.848)
Te (0.298, 0.152, 0.152)
Sb (0.000, 0.794, 0.206)
Cs (0.500, 0.500, 0.500)
Sb (0.500, 0.000, 0.000)
Te (0.794, 0.363, 0.941)
Te (0.206, 0.637, 0.059)
Sb (0.000, 0.206, 0.794)
Te (0.000, 0.500, 0.500)
Te (0.206, 0.059, 0.637)

Entry from the Alexandria database: a geometry-optimized CsSbTe3 structure (PBE-GGA).

Results
**Density of states at the Fermi level**: 6.39 states/eV/cell
**ΔE to the lowest computed polymorph**: 132 meV/atom

Cell lengths 7.577, 7.577, 7.577 Å; angles 78.08, 78.08, 78.08 degrees
Positions (direct):
Sb (0.994, 0.994, 0.994)
Te (0.119, 0.788, 0.313)
Te (0.788, 0.313, 0.119)
Sb (0.494, 0.494, 0.494)
Cs (0.757, 0.757, 0.757)
Te (0.619, 0.813, 0.288)
Te (0.313, 0.119, 0.788)
Te (0.288, 0.619, 0.813)
Cs (0.257, 0.257, 0.257)
Te (0.813, 0.288, 0.619)

Entry from the Alexandria database: a geometry-optimized CsSbTe3 structure (PBE-GGA).

Results
**Density of states at the Fermi level**: 6.26 states/eV/cell
**ΔE to the lowest computed polymorph**: 186 meV/atom

Cell lengths 5.920, 5.920, 5.920 Å; angles 90.00, 90.00, 90.00 degrees
Positions (direct):
Te (0.000, 0.500, 0.000)
Te (0.000, 0.000, 0.500)
Te (0.500, 0.000, 0.000)
Cs (0.500, 0.500, 0.500)
Sb (0.000, 0.000, 0.000)

Entry from the Alexandria database: a geometry-optimized Cs4SbTe4 structure (PBE-GGA).

Results
**Density of states at the Fermi level**: 12.60 states/eV/cell
**ΔE to the lowest computed polymorph**: 107 meV/atom

Cell lengths 7.707, 8.945, 8.945 Å; angles 79.31, 64.48, 64.48 degrees
Positions (direct):
Sb (0.000, 0.000, 0.000)
Te (0.916, 0.839, 0.328)
Cs (0.583, 0.215, 0.619)
Te (0.084, 0.161, 0.672)
Cs (0.202, 0.381, 0.215)
Te (0.755, 0.328, 0.161)
Cs (0.798, 0.619, 0.785)
Cs (0.417, 0.785, 0.381)
Te (0.245, 0.672, 0.839)

Entry from the Alexandria database: a geometry-optimized CsSb2Te4 structure (PBE-GGA).

Results
**ΔE to the lowest computed polymorph**: 0 meV/atom

Cell lengths 8.525, 8.090, 10.577 Å; angles 108.67, 111.64, 99.48 degrees
Positions (direct):
Te (0.949, 0.691, 0.612)
Te (0.770, 0.965, 0.568)
Sb (0.615, 0.864, 0.245)
Te (0.388, 0.177, 0.824)
Sb (0.134, 0.369, 0.747)
Sb (0.666, 0.477, 0.870)
Te (0.417, 0.711, 0.868)
Sb (0.652, 0.414, 0.353)
Te (0.823, 0.174, 0.245)
Te (0.043, 0.407, 0.984)
Cs (0.300, 0.669, 0.466)
Te (0.513, 0.202, 0.479)
Te (0.854, 0.671, 0.192)
Cs (0.125, 0.960, 0.046)

Entry from the Alexandria database: a geometry-optimized Cs3SbTe4 structure (PBE-GGA).

Results
**Density of states at the Fermi level**: 1.93 states/eV/cell

Cell lengths 8.349, 8.349, 8.349 Å; angles 91.92, 115.32, 122.60 degrees
Positions (direct):
Cs (0.593, 0.742, 0.335)
Te (0.544, 0.212, 0.332)
Te (0.171, 0.700, 0.871)
Cs (0.593, 0.258, 0.851)
Te (0.121, 0.788, 0.332)
Cs (0.955, 0.000, 0.955)
Te (0.171, 0.300, 0.472)
Sb (0.003, 0.500, 0.503)

Record order is preserved below.
Electronic total energy: -3.925; -3.511; -4.308; -3.333; -3.184; -3.107; -3.284; -3.121; -3.067; -2.847; -3.401; -3.038 eV/atom
Record order is preserved below.
Total magnetic moment: 0.0; 2.0; 1.9; 0.0; 0.0; 0.0; 0.0; 0.0; 0.0; 0.1; 0.0; 0.0 μB per formula unit